# PmV2HgO8, relaxed, DFT GGA+U
# Total DFT energy (no corrections) ... -162.42 eV/cell
data_PmV2HgO8
_symmetry_space_group_name_H-M 'I -4 m 2'
_symmetry_Int_Tables_number 119
_symmetry_space_group_name_Hall 'I -4 -2'
_cell_length_a 7.365
_cell_length_b 7.365
_cell_length_c 6.559
_cell_angle_alpha 90.00
_cell_angle_beta 90.00
_cell_angle_gamma 90.00
loop_
_atom_site_label
_atom_site_type_symbol
_atom_site_fract_x
_atom_site_fract_y
_atom_site_fract_z
_atom_site_occupancy
Pm1 Pm 0.000 0.000 0.000 1
V1 V 0.000 0.000 0.500 1
V2 V 0.000 0.500 0.750 1
Hg1 Hg 0.000 0.500 0.250 1
O1 O 0.000 0.181 0.328 1
O2 O 0.000 0.310 0.908 1